A plane-wave DFT calculation with PBE-GGA was carried out for a geometry-optimized Hg3PCl6 structure.

abc: 5.8018 5.8018 8.3868
angles: 90.00 90.00 120.00
Last column: nearest neighbours and their distance in Å.
Positions (direct):
Cl1 0.6967 0.0000 0.1494  1 P 2.16
Cl2 0.0000 0.6967 0.1494  1 P 2.16
Cl3 0.3033 0.3033 0.1494  1 P 2.16
Cl4 0.6967 0.6967 0.8506  1 P 2.16
Cl5 0.0000 0.3033 0.8506  1 P 2.16
Cl6 0.3033 0.0000 0.8506  1 P 2.16
Hg1 0.3333 0.6667 0.5000  6 Hg 3.35, 6 Cl 3.57
Hg2 0.0000 0.0000 0.5000  6 Hg 3.35, 6 Cl 3.43
Hg3 0.6667 0.3333 0.5000  6 Hg 3.35, 6 Cl 3.57
P1 0.0000 0.0000 0.0000  6 Cl 2.16

Properties
Energy: -20.197 eV for the cell shown

=====

A plane-wave DFT calculation with PBE-GGA was carried out for a geometry-optimized Hg6P4PbCl6 structure.

abc: 12.1204 12.1204 12.1204
angles: 90.00 90.00 90.00
Last column: nearest neighbours and their distance in Å.
Positions (direct):
Cl1 0.7124 0.9602 0.4848  1 Pb 2.82, 3 Hg 2.95-3.15
Cl2 0.0427 0.5193 0.2408  4 Hg 2.92-3.22, 1 Pb 3.02
Cl3 0.5427 0.9807 0.7592  4 Hg 2.92-3.22, 1 Pb 3.02
Cl4 0.5398 0.5152 0.2124  1 Pb 2.82, 3 Hg 2.95-3.15
Cl5 0.4807 0.7408 0.4573  4 Hg 2.92-3.22, 1 Pb 3.02
Cl6 0.0152 0.2876 0.4602  1 Pb 2.82, 3 Hg 2.95-3.15
Cl7 0.4573 0.4807 0.7408  4 Hg 2.92-3.22, 1 Pb 3.02
Cl8 0.7408 0.4573 0.4807  4 Hg 2.92-3.22, 1 Pb 3.02
Cl9 0.7876 0.0398 0.9848  1 Pb 2.82, 3 Hg 2.95-3.15
Cl10 0.2592 0.9573 0.0193  4 Hg 2.92-3.22, 1 Pb 3.02
Cl11 0.2876 0.4602 0.0152  1 Pb 2.82, 3 Hg 2.95-3.15
Cl12 0.5193 0.2408 0.0427  4 Hg 2.92-3.22, 1 Pb 3.02
Cl13 0.2124 0.5398 0.5152  1 Pb 2.82, 3 Hg 2.95-3.15
Cl14 0.9848 0.7876 0.0398  1 Pb 2.82, 3 Hg 2.95-3.15
Cl15 0.9807 0.7592 0.5427  4 Hg 2.92-3.22, 1 Pb 3.02
Cl16 0.5152 0.2124 0.5398  1 Pb 2.82, 3 Hg 2.95-3.15
Cl17 0.4602 0.0152 0.2876  1 Pb 2.82, 3 Hg 2.95-3.15
Cl18 0.9602 0.4848 0.7124  1 Pb 2.82, 3 Hg 2.95-3.15
Cl19 0.4848 0.7124 0.9602  1 Pb 2.82, 3 Hg 2.95-3.15
Cl20 0.9573 0.0193 0.2592  4 Hg 2.92-3.22, 1 Pb 3.02
Cl21 0.2408 0.0427 0.5193  4 Hg 2.92-3.22, 1 Pb 3.02
Cl22 0.7592 0.5427 0.9807  4 Hg 2.92-3.22, 1 Pb 3.02
Cl23 0.0193 0.2592 0.9573  4 Hg 2.92-3.22, 1 Pb 3.02
Cl24 0.0398 0.9848 0.7876  1 Pb 2.82, 3 Hg 2.95-3.15
Hg1 0.7173 0.4849 0.7249  2 P 2.50
Hg2 0.4863 0.7697 0.2180  2 P 2.49
Hg3 0.2180 0.4863 0.7697  2 P 2.49
Hg4 0.2173 0.0151 0.2751  2 P 2.50
Hg5 0.9849 0.7751 0.2827  2 P 2.50
Hg6 0.7249 0.7173 0.4849  2 P 2.50
Hg7 0.0151 0.2751 0.2173  2 P 2.50
Hg8 0.2827 0.9849 0.7751  2 P 2.50
Hg9 0.2820 0.5137 0.2697  2 P 2.49
Hg10 0.7820 0.9863 0.7303  2 P 2.49
Hg11 0.2751 0.2173 0.0151  2 P 2.50
Hg12 0.0137 0.2303 0.7180  2 P 2.49
Hg13 0.4849 0.7249 0.7173  2 P 2.50
Hg14 0.7827 0.5151 0.2249  2 P 2.50
Hg15 0.7303 0.7820 0.9863  2 P 2.49
Hg16 0.2249 0.7827 0.5151  2 P 2.50
Hg17 0.9863 0.7303 0.7820  2 P 2.49
Hg18 0.5137 0.2697 0.2820  2 P 2.49
Hg19 0.5151 0.2249 0.7827  2 P 2.50
Hg20 0.2303 0.7180 0.0137  2 P 2.49
Hg21 0.2697 0.2820 0.5137  2 P 2.49
Hg22 0.7751 0.2827 0.9849  2 P 2.50
Hg23 0.7180 0.0137 0.2303  2 P 2.49
Hg24 0.7697 0.2180 0.4863  2 P 2.49
Pb1 0.9830 0.5170 0.4830  6 Cl 2.82-3.02
Pb2 0.4830 0.9830 0.5170  6 Cl 2.82-3.02
Pb3 0.0170 0.0170 0.0170  6 Cl 2.82-3.02
Pb4 0.5170 0.4830 0.9830  6 Cl 2.82-3.02
P1 0.7895 0.7895 0.7895  1 P 2.20
P2 0.8153 0.3153 0.1847  1 P 2.20
P3 0.7105 0.2105 0.2895  1 P 2.20
P4 0.2105 0.2895 0.7105  1 P 2.20
P5 0.7113 0.2887 0.7887  1 P 2.21
P6 0.1847 0.8153 0.3153  1 P 2.20
P7 0.3163 0.3163 0.3163  1 P 2.21
P8 0.3153 0.1847 0.8153  1 P 2.20
P9 0.2113 0.2113 0.2113  1 P 2.21
P10 0.2895 0.7105 0.2105  1 P 2.20
P11 0.2887 0.7887 0.7113  1 P 2.21
P12 0.7887 0.7113 0.2887  1 P 2.21
P13 0.6847 0.6847 0.6847  1 P 2.20
P14 0.8163 0.1837 0.6837  1 P 2.21
P15 0.1837 0.6837 0.8163  1 P 2.21
P16 0.6837 0.8163 0.1837  1 P 2.21

Properties
Energy: -185.295 eV for the cell shown

=====

A plane-wave DFT calculation with PBE-GGA was carried out for a geometry-optimized Rb2HgPbCl6 structure.

abc: 7.7650 7.7650 7.7650
angles: 60.00 60.00 60.00
Last column: nearest neighbours and their distance in Å.
Positions (direct):
Cl1 0.7565 0.7565 0.2435  1 Hg 2.67, 1 Pb 2.82
Cl2 0.2435 0.2435 0.7565  1 Hg 2.67, 1 Pb 2.82
Cl3 0.7565 0.2435 0.7565  1 Hg 2.67, 1 Pb 2.82
Cl4 0.7565 0.2435 0.2435  1 Hg 2.67, 1 Pb 2.82
Cl5 0.2435 0.7565 0.7565  1 Hg 2.67, 1 Pb 2.82
Cl6 0.2435 0.7565 0.2435  1 Hg 2.67, 1 Pb 2.82
Rb1 0.2500 0.2500 0.2500  12 Cl 3.88
Rb2 0.7500 0.7500 0.7500  12 Cl 3.88
Pb1 0.5000 0.5000 0.5000  6 Cl 2.82
Hg1 0.0000 0.0000 0.0000  6 Cl 2.67

Properties
Energy: -29.971 eV for the cell shown

=====

A plane-wave DFT calculation with PBE-GGA was carried out for a geometry-optimized Rb2HgPdCl6 structure.

abc: 7.5071 7.5071 7.5071
angles: 120.36 120.36 89.38
Last column: nearest neighbours and their distance in Å.
Positions (direct):
Cl1 0.2766 0.2766 0.0000  1 Hg 2.38
Cl2 0.2215 0.7785 0.0000  1 Pd 2.34
Cl3 0.2215 0.2215 0.4430  1 Pd 2.34
Cl4 0.7785 0.7785 0.5570  1 Pd 2.34
Cl5 0.7785 0.2215 0.0000  1 Pd 2.34
Cl6 0.7234 0.7234 0.0000  1 Hg 2.38
Pd1 0.0000 0.0000 0.0000  4 Cl 2.34
Rb1 0.2500 0.7500 0.5000  12 Cl 3.74-3.77
Rb2 0.7500 0.2500 0.5000  12 Cl 3.74-3.77
Hg1 0.5000 0.5000 0.0000  2 Cl 2.38

Properties
Energy: -29.714 eV for the cell shown

=====

A plane-wave DFT calculation with PBE-GGA was carried out for a geometry-optimized Rb2Hg2PtCl8 structure.

abc: 6.7442 6.7442 10.1149
angles: 106.66 106.66 61.08
Last column: nearest neighbours and their distance in Å.
Positions (direct):
Cl1 0.3662 0.8924 0.1346  1 Pt 2.32
Cl2 0.3470 0.3470 0.4995  1 Hg 2.36
Cl3 0.6338 0.1076 0.8654  1 Pt 2.32
Cl4 0.9166 0.9166 0.3132  1 Hg 2.36
Cl5 0.0834 0.0834 0.6868  1 Hg 2.36
Cl6 0.8924 0.3662 0.1346  1 Pt 2.32
Cl7 0.1076 0.6338 0.8654  1 Pt 2.32
Cl8 0.6530 0.6530 0.5005  1 Hg 2.36
Rb1 0.6069 0.6069 0.8328  10 Cl 3.39-3.71
Rb2 0.3931 0.3931 0.1672  10 Cl 3.39-3.71
Hg1 0.8681 0.8681 0.6001  2 Cl 2.36
Hg2 0.1319 0.1319 0.3999  2 Cl 2.36
Pt1 0.0000 0.0000 0.0000  4 Cl 2.32

Properties
Energy: -36.406 eV for the cell shown

=====

A plane-wave DFT calculation with PBE-GGA was carried out for a geometry-optimized Rb2HgPtCl6 structure.

abc: 7.4325 7.4325 7.4325
angles: 60.00 60.00 60.00
Last column: nearest neighbours and their distance in Å.
Positions (direct):
Cl1 0.2720 0.7280 0.2720  1 Pt 2.40
Cl2 0.7280 0.2720 0.7280  1 Pt 2.40
Cl3 0.7280 0.7280 0.2720  1 Pt 2.40
Cl4 0.7280 0.2720 0.2720  1 Pt 2.40
Cl5 0.2720 0.7280 0.7280  1 Pt 2.40
Cl6 0.2720 0.2720 0.7280  1 Pt 2.40
Hg1 0.0000 0.0000 0.0000  6 Cl 2.86
Rb1 0.7500 0.7500 0.7500  12 Cl 3.72
Rb2 0.2500 0.2500 0.2500  12 Cl 3.72
Pt1 0.5000 0.5000 0.5000  6 Cl 2.40

Properties
Energy: -30.057 eV for the cell shown

=====

A plane-wave DFT calculation with PBE-GGA was carried out for a geometry-optimized Tl2HgPtCl6 structure.

abc: 7.3716 7.3716 7.3716
angles: 60.00 60.00 60.00
Last column: nearest neighbours and their distance in Å.
Positions (direct):
Tl1 0.2500 0.2500 0.2500  12 Cl 3.69
Tl2 0.7500 0.7500 0.7500  12 Cl 3.69
Cl1 0.7702 0.7702 0.2298  1 Pt 2.40
Cl2 0.2298 0.7702 0.7702  1 Pt 2.40
Cl3 0.2298 0.2298 0.7702  1 Pt 2.40
Cl4 0.7702 0.2298 0.2298  1 Pt 2.40
Cl5 0.2298 0.7702 0.2298  1 Pt 2.40
Cl6 0.7702 0.2298 0.7702  1 Pt 2.40
Pt1 0.0000 0.0000 0.0000  6 Cl 2.40
Hg1 0.5000 0.5000 0.5000  6 Cl 2.82

Properties
Energy: -28.705 eV for the cell shown

=====

A plane-wave DFT calculation with PBE-GGA was carried out for a geometry-optimized RbHg2Cl5 structure.

abc: 8.2776 5.8961 10.7915
angles: 90.00 107.81 90.00
Last column: nearest neighbours and their distance in Å.
Positions (direct):
Rb1 0.4529 0.2500 0.2472  7 Cl 3.43-3.68
Rb2 0.5471 0.7500 0.7528  7 Cl 3.43-3.68
Cl1 0.3416 0.7500 0.4077  1 Hg 2.35
Cl2 0.1011 0.2500 0.9424  3 Hg 2.67-2.97
Cl3 0.2365 0.2500 0.6322  1 Hg 2.34
Cl4 0.8989 0.7500 0.0576  3 Hg 2.67-2.97
Cl5 0.4256 0.7500 0.0793  1 Hg 2.38
Cl6 0.7635 0.7500 0.3678  1 Hg 2.34
Cl7 0.6584 0.2500 0.5923  1 Hg 2.35
Cl8 0.5744 0.2500 0.9207  1 Hg 2.38
Cl9 0.0426 0.2500 0.2874  1 Hg 2.46
Cl10 0.9574 0.7500 0.7126  1 Hg 2.46
Hg1 0.8605 0.2500 0.0598  3 Cl 2.38-2.67
Hg2 0.9546 0.2500 0.6353  2 Cl 2.34-2.35
Hg3 0.1395 0.7500 0.9402  3 Cl 2.38-2.67
Hg4 0.0454 0.7500 0.3647  2 Cl 2.34-2.35

Properties
Energy: -36.838 eV for the cell shown